PBE LiPbBr2, relaxed; ΔE_f (raw) = -0.798 eV per atom; space group = I-42d; volume = 28.675 Å³ per atom; magnetization = 0.00 μB per atom; final energy = -3.040 eV/atom
1.0
-0.404 3.017 -6.958
-7.250 1.890 1.241
-2.662 5.967 -1.403
Li Br Pb
2 4 2
Direct
0.250 0.750 0.500
0.500 0.500 0.000
0.375 0.447 0.750
0.553 0.125 0.250
0.197 0.625 0.250
0.875 0.803 0.750
0.750 0.250 0.500
0.000 0.000 0.000